Entry 1:
DFT (PBE-GGA) results for an optimized crystal structure of Sb2AsRh8.

a b c (Å): 7.1159 7.1159 7.1159
angles (deg): 145.85 118.62 72.14
Closest atoms and distances in Å follow each position.
Fractional coordinates of all 11 atoms:
Sb (0.1892, 0.1892, 0.0000)  10 Rh 2.60-2.91
Sb (0.8108, 0.8108, 0.0000)  10 Rh 2.60-2.91
As (0.5000, 0.5000, 0.0000)  8 Rh 2.60
Rh (0.0834, 0.3461, 0.7373)  1 As 2.60, 3 Sb 2.63-2.74, 4 Rh 2.76-2.84
Rh (0.1953, 0.0000, 0.1953)  2 Sb 2.60, 7 Rh 2.71-2.84
Rh (0.3647, 0.8647, 0.5000)  2 As 2.60, 6 Rh 2.71-2.84, 2 Sb 2.91
Rh (0.3911, 0.6539, 0.7373)  1 As 2.60, 3 Sb 2.63-2.74, 4 Rh 2.76-2.84
Rh (0.6089, 0.3461, 0.2627)  1 As 2.60, 3 Sb 2.63-2.74, 4 Rh 2.76-2.84
Rh (0.6353, 0.1353, 0.5000)  2 As 2.60, 6 Rh 2.71-2.84, 2 Sb 2.91
Rh (0.8047, 0.0000, 0.8047)  2 Sb 2.60, 7 Rh 2.71-2.84
Rh (0.9166, 0.6539, 0.2627)  1 As 2.60, 3 Sb 2.63-2.74, 4 Rh 2.76-2.84

Summary:
crystal system: orthorhombic
E_tot: -6.6992 eV/atom
space group: Immm

Entry 2:
DFT (PBE-GGA) results for an optimized crystal structure of La3Pr8Cd.

a b c (Å): 8.5453 8.5453 8.5453
angles (deg): 117.86 117.86 93.74
Closest atoms and distances in Å follow each position.
Fractional coordinates of all 12 atoms:
La (0.0000, 0.0000, 0.0000)  8 Pr 3.13-3.32
La (0.2500, 0.7500, 0.5000)  4 Pr 3.48
La (0.7500, 0.2500, 0.5000)  4 Pr 3.48
Pr (0.1256, 0.1256, 0.7494)  3 Pr 3.13-3.35, 1 Cd 3.30, 3 La 3.32-3.48
Pr (0.2482, 0.2482, 0.5021)  1 Cd 3.11, 1 La 3.13, 2 Pr 3.26-3.35
Pr (0.2539, 0.7518, 0.0000)  1 Cd 3.11, 1 La 3.13, 2 Pr 3.26-3.35
Pr (0.3763, 0.3763, 0.2506)  3 Pr 3.13-3.35, 1 Cd 3.30, 3 La 3.32-3.48
Pr (0.6237, 0.8744, 0.0000)  3 Pr 3.13-3.35, 1 Cd 3.30, 3 La 3.32-3.48
Pr (0.7461, 0.7461, 0.4979)  1 Cd 3.11, 1 La 3.13, 2 Pr 3.26-3.35
Pr (0.7518, 0.2539, 0.0000)  1 Cd 3.11, 1 La 3.13, 2 Pr 3.26-3.35
Pr (0.8744, 0.6237, 0.0000)  3 Pr 3.13-3.35, 1 Cd 3.30, 3 La 3.32-3.48
Cd (0.5000, 0.5000, 0.0000)  8 Pr 3.11-3.30

Summary:
ΔE_f: 38.7 kJ/mol of atoms
crystal system: tetragonal
space group: I-42m

Entry 3:
DFT (PBE-GGA) results for an optimized crystal structure of U2PaAl.

a b c (Å): 4.2915 4.2915 4.5805
angles (deg): 90.00 90.00 90.00
Closest atoms and distances in Å follow each position.
Fractional coordinates of all 4 atoms:
U (0.0000, 0.5000, 0.0000)  4 U 3.03, 4 Al 3.14, 4 Pa 3.14
U (0.5000, 0.0000, 0.0000)  4 U 3.03, 4 Al 3.14, 4 Pa 3.14
Pa (0.0000, 0.0000, 0.5000)  4 Al 3.03, 8 U 3.14
Al (0.5000, 0.5000, 0.5000)  4 Pa 3.03, 8 U 3.14

Summary:
ΔE_f: 2.8 kJ/mol of atoms
crystal system: tetragonal
energy relative to the lowest polymorph listed for this composition: 0 meV/atom
space group: P4/mmm

Entry 4:
DFT (PBE-GGA) results for an optimized crystal structure of Zr2Cd2In.

a b c (Å): 7.9774 7.9774 3.5459
angles (deg): 90.00 90.00 90.00
Closest atoms and distances in Å follow each position.
Fractional coordinates of all 10 atoms:
Zr (0.1752, 0.3248, 0.0000)  6 Cd 2.88-3.00
Zr (0.3248, 0.8248, 0.0000)  6 Cd 2.88-3.00
Zr (0.6752, 0.1752, 0.0000)  6 Cd 2.88-3.00
Zr (0.8248, 0.6752, 0.0000)  6 Cd 2.88-3.00
Cd (0.1238, 0.6238, 0.5000)  1 Cd 2.79, 6 Zr 2.88-3.00
Cd (0.3762, 0.1238, 0.5000)  1 Cd 2.79, 6 Zr 2.88-3.00
Cd (0.6238, 0.8762, 0.5000)  1 Cd 2.79, 6 Zr 2.88-3.00
Cd (0.8762, 0.3762, 0.5000)  1 Cd 2.79, 6 Zr 2.88-3.00
In (0.0000, 0.0000, 0.5000)  4 Cd 3.16, 8 Zr 3.44
In (0.5000, 0.5000, 0.5000)  4 Cd 3.16, 8 Zr 3.44

Summary:
ΔE_f: 0.5 kJ/mol of atoms
crystal system: tetragonal
space group: P4/mbm

For reference, D(E_F) by record: 10.98, 18.22, 10.12, 3.47 states/eV per cell.